CsOsAu3 GGA-PBE relaxed; formation energy = 57.7 kJ/mol of atoms; space-group type = No. 221; total magnetic moment = 2.25 μB/cell
1.0
5.2262 0.0000 0.0000
0.0000 5.2262 0.0000
0.0000 0.0000 5.2262
Cs Os Au
1 1 3
Cartesian
2.6131 2.6131 2.6131
0.0000 0.0000 0.0000
0.0000 2.6131 0.0000
0.0000 0.0000 2.6131
2.6131 0.0000 0.0000